# 1
Density functional theory data (PBE) for crystalline Ac12Tm5Ga3 at its relaxed geometry.

Structure (extended XYZ):
```
80
Lattice="16.753 0.000 0.000 -5.584 15.794 0.000 -5.584 -7.897 13.678" Properties=species:S:1:pos:R:3 pbc="T T T"
Ac -5.963 0.376 11.430
Ac 7.998 8.273 2.248
Ac -0.379 5.763 0.798
Ac 2.413 1.759 12.229
Ac 3.171 10.032 0.798
Ac -3.242 8.644 10.475
Ac 7.523 12.021 3.636
Ac -2.413 -0.376 11.430
Ac 7.523 2.686 1.754
Ac 2.413 -2.135 12.880
Ac -0.025 5.512 6.041
Ac -1.938 5.211 11.925
Ac 11.143 -4.039 8.593
Ac 3.171 6.138 1.449
Ac 2.342 6.349 9.087
Ac -5.559 11.936 5.086
Ac 8.351 3.858 5.086
Ac 8.351 14.321 0.955
Ac -0.854 8.984 5.390
Ac 0.450 9.445 9.087
Ac -5.609 6.424 12.723
Ac 8.826 -0.746 3.203
Ac 7.926 8.699 7.794
Ac -5.134 7.096 7.794
Ac 3.646 6.810 5.390
Ac -0.379 9.656 1.449
Ac 6.034 7.151 10.475
Ac 10.315 -5.211 11.925
Ac 11.193 1.473 0.955
Ac -2.767 4.039 8.593
Ac 5.963 -1.759 12.229
Ac 12.022 3.773 3.636
Ac 6.438 -1.087 8.289
Ac 2.767 -2.385 7.638
Ac -6.438 4.124 10.042
Ac 5.963 2.135 12.880
Ac -4.730 13.108 1.754
Ac -0.450 0.746 3.203
Ac -1.938 -4.124 10.042
Ac 10.718 0.802 5.884
Ac -2.767 -6.424 12.723
Ac -2.342 -0.802 5.884
Ac 11.547 7.521 2.248
Ac 3.242 1.548 4.591
Ac 5.134 -1.548 4.591
Ac 5.609 2.385 7.638
Ac 2.817 10.282 6.041
Ac 1.938 1.087 8.289
Ga -4.188 2.961 11.969
Ga 9.772 10.859 1.710
Ga 4.188 0.000 10.259
Ga 4.188 8.884 8.549
Ga 1.396 -0.987 5.129
Ga -1.396 6.910 8.549
Ga 9.772 4.936 1.710
Ga 6.980 0.987 5.129
Ga 12.564 0.000 3.420
Ga -4.188 -2.961 11.969
Ga 1.396 7.897 3.420
Ga -6.980 7.897 10.259
Tm 0.000 0.000 0.000
Tm 4.188 11.846 3.420
Tm 6.980 -4.936 11.969
Tm 1.396 4.936 11.969
Tm 6.980 6.910 5.129
Tm 5.584 -3.949 6.839
Tm 8.376 0.000 0.000
Tm 2.792 3.949 6.839
Tm -1.396 3.949 3.420
Tm -2.792 7.897 0.000
Tm -2.792 -3.949 6.839
Tm -4.188 8.884 5.129
Tm 4.188 2.961 1.710
Tm -1.396 12.833 1.710
Tm 1.396 -3.949 10.259
Tm 6.980 3.949 10.259
Tm -1.396 0.987 8.549
Tm 9.772 -0.987 8.549
Tm 5.584 7.897 0.000
Tm -5.584 3.949 6.839
```

Energy relative to the elements = 0.689 eV/atom
Mass density = 6.9 g/cm3
DOS(E_F) = 26.1 states/eV/f.u.
M_tot = 0.000 μB per cell
V = 3619 Å³ per cell

# 2
Density functional theory data (PBE) for crystalline TbPrCo at its relaxed geometry.

Structure (extended XYZ):
```
3
Lattice="3.441 0.000 0.000 0.000 3.441 0.000 -1.721 -1.721 6.514" Properties=species:S:1:pos:R:3 pbc="T T T"
Co 1.721 1.721 2.246
Tb 0.000 0.000 3.790
Pr 0.000 0.000 0.478
```

Energy relative to the elements = -0.013 eV/atom
Mass density = 7.7 g/cm3
DOS(E_F) = 2.8 states/eV/f.u.
Offset from the most stable computed form = 0.0682 eV/atom
M_tot = 0.697 μB per cell
V = 77 Å³ per cell

# 3
Density functional theory data (PBE) for crystalline SrMoC2 at its relaxed geometry.

Structure (extended XYZ):
```
8
Lattice="5.760 0.000 0.000 0.000 5.760 0.000 2.880 2.880 4.284" Properties=species:S:1:pos:R:3 pbc="T T T"
C 0.808 4.320 1.071
C 7.200 7.832 3.213
C 4.952 1.440 1.071
C 4.320 3.688 3.213
Mo 0.000 0.000 0.000
Mo 5.760 2.880 2.142
Sr 2.880 5.760 2.142
Sr 2.880 2.880 0.000
```

Energy relative to the elements = 0.300 eV/atom
Mass density = 4.9 g/cm3
DOS(E_F) = 0.0 states/eV/f.u.
Offset from the most stable computed form = 0.0000 eV/atom
M_tot = 0.000 μB per cell
V = 142 Å³ per cell

# 4
Density functional theory data (PBE) for crystalline Dy2SnAs at its relaxed geometry.

Structure (extended XYZ):
```
4
Lattice="4.042 0.000 0.000 2.021 3.500 0.000 2.021 1.167 7.641" Properties=species:S:1:pos:R:3 pbc="T T T"
As 0.000 0.000 0.000
Dy 2.021 1.167 1.670
Dy 6.063 3.500 5.971
Sn 4.042 2.334 3.820
```

Energy relative to the elements = -1.062 eV/atom
Mass density = 8.0 g/cm3
DOS(E_F) = 1.0 states/eV/f.u.
Offset from the most stable computed form = 0.0457 eV/atom
M_tot = 0.000 μB per cell
V = 108 Å³ per cell

# 5
Density functional theory data (PBE) for crystalline CaZnSiSF at its relaxed geometry.

Structure (extended XYZ):
```
10
Lattice="4.302 0.000 0.055 0.000 3.690 0.000 -0.463 0.000 12.547" Properties=species:S:1:pos:R:3 pbc="T T T"
Si 3.355 1.845 2.345
Si 3.123 0.000 8.619
Zn 1.769 1.845 9.660
Zn 2.001 0.000 3.386
S 1.754 1.845 12.008
S 1.986 0.000 5.735
F -0.046 1.845 3.836
F -0.277 0.000 10.110
Ca -0.374 0.000 12.430
Ca -0.143 1.845 6.157
```

E_form (uncorrected) = -5.957 eV/f.u.
Mass density = 3.1 g/cm3
DOS(E_F) = 1.2 states/eV/f.u.
Offset from the most stable computed form = 0.2148 eV/atom
M_tot = 0.000 μB per cell
V = 199 Å³ per cell

# 6
Density functional theory data (PBE) for crystalline Ba2NdThSe6 at its relaxed geometry.

Structure (extended XYZ):
```
20
Lattice="-2.527 -2.231 -6.853 6.056 -5.429 -0.466 -6.317 -7.478 5.018" Properties=species:S:1:pos:R:3 pbc="T T T"
Ba -0.240 -5.228 -2.154
Ba 3.944 -6.911 0.612
Ba -2.548 -9.910 -0.147
Ba -6.732 -8.227 -2.912
Se -0.591 -6.752 -5.067
Se 3.102 -4.960 -2.135
Se 0.341 -1.923 -1.155
Se -2.197 -8.386 2.766
Se -5.890 -10.178 -0.166
Se -2.919 -3.417 -2.969
Se 0.646 -7.780 -0.179
Se -3.129 -13.215 -1.146
Se -2.027 -4.821 0.795
Se -3.434 -7.358 -2.122
Se -0.760 -10.317 -3.096
Se 0.131 -11.721 0.668
Nd 3.028 -2.714 -0.233
Nd -4.422 -4.855 -0.917
Th -1.263 -1.116 -3.427
Th -0.131 -6.453 2.276
```

E_form (uncorrected) = -17.397 eV/f.u.
Mass density = 5.5 g/cm3
DOS(E_F) = 14.9 states/eV/f.u.
M_tot = 0.002 μB per cell
V = 684 Å³ per cell

# 7
Density functional theory data (PBE) for crystalline AcScGe2Pd5 at its relaxed geometry.

Structure (extended XYZ):
```
9
Lattice="4.310 0.000 0.000 0.000 4.310 0.000 0.000 0.000 9.165" Properties=species:S:1:pos:R:3 pbc="T T T"
Pd 2.155 0.000 2.385
Pd 2.155 2.155 4.582
Pd 0.000 2.155 2.385
Pd 2.155 0.000 6.780
Pd 0.000 2.155 6.780
Ac 0.000 0.000 4.582
Ge 2.155 2.155 1.195
Ge 2.155 2.155 7.970
Sc 0.000 0.000 0.000
```

Energy relative to the elements = -0.678 eV/atom
Mass density = 9.3 g/cm3
DOS(E_F) = 3.5 states/eV/f.u.
M_tot = 0.000 μB per cell
V = 170 Å³ per cell

# 8
Density functional theory data (PBE) for crystalline SbTe2Pb at its relaxed geometry.

Structure (extended XYZ):
```
16
Lattice="5.609 0.000 0.000 0.000 6.349 0.000 0.000 0.000 17.187" Properties=species:S:1:pos:R:3 pbc="T T T"
Sb 1.402 1.679 14.658
Sb 4.207 4.670 2.529
Sb 4.207 1.495 6.065
Sb 1.402 4.854 11.123
Te 1.402 4.434 1.507
Te 1.402 5.183 14.515
Te 1.402 2.009 11.266
Te 4.207 5.089 10.101
Te 4.207 4.340 5.922
Te 4.207 1.166 2.672
Te 1.402 1.260 7.086
Te 4.207 1.915 15.680
Pb 4.207 1.795 9.458
Pb 1.402 1.379 0.864
Pb 4.207 4.969 16.324
Pb 1.402 4.554 7.730
```

E_form (uncorrected) = -0.347 eV/f.u.
Mass density = 6.3 g/cm3
DOS(E_F) = 0.9 states/eV/f.u.
M_tot = 0.000 μB per cell
V = 612 Å³ per cell

# 9
Density functional theory data (PBE) for crystalline LaPr3Ir2 at its relaxed geometry.

Structure (extended XYZ):
```
12
Lattice="2.184 8.476 -0.623 -2.184 8.476 -0.623 0.000 6.449 9.700" Properties=species:S:1:pos:R:3 pbc="T T T"
Pr 0.000 6.123 7.632
Pr 0.000 17.260 4.636
Pr 0.000 17.642 8.405
Pr 0.000 5.760 0.049
Pr 0.000 6.141 3.817
Pr 0.000 17.279 0.821
La 0.000 11.685 6.041
La 0.000 11.716 2.412
Ir 0.000 20.300 7.245
Ir 0.000 3.101 1.208
Ir 0.000 9.000 3.372
Ir 0.000 14.401 5.082
```

Energy relative to the elements = -0.526 eV/atom
Mass density = 8.3 g/cm3
DOS(E_F) = 6.1 states/eV/f.u.
M_tot = 0.000 μB per cell
V = 377 Å³ per cell

# 10
Density functional theory data (PBE) for crystalline Ce6Si2Ge at its relaxed geometry.

Structure (extended XYZ):
```
18
Lattice="8.367 -0.099 -0.041 -3.262 7.706 0.041 -2.775 -3.654 6.998" Properties=species:S:1:pos:R:3 pbc="T T T"
Si 0.480 -0.322 6.179
Si 3.481 -2.336 4.330
Si 1.851 4.275 0.819
Si 2.112 -1.417 2.627
Ce -2.493 -0.873 5.639
Ce 2.698 3.706 3.798
Ce -2.764 4.831 4.827
Ce -3.370 2.262 6.699
Ce -0.136 2.638 5.639
Ce 2.467 1.315 1.359
Ce 2.850 0.628 4.787
Ce -0.368 0.247 3.199
Ce 5.094 -0.878 2.170
Ce -0.519 3.325 2.211
Ce 5.700 1.691 0.298
Ce 4.824 4.826 1.359
Ge -3.019 2.026 3.519
Ge 0.000 0.000 0.000
```

E_form (uncorrected) = -3.894 eV/f.u.
Mass density = 7.2 g/cm3
DOS(E_F) = 26.1 states/eV/f.u.
M_tot = 9.999 μB per cell
V = 449 Å³ per cell

# 11
Density functional theory data (PBE) for crystalline Pd5Au2 at its relaxed geometry.

Structure (extended XYZ):
```
14
Lattice="1.230 3.897 -3.805 -2.853 -3.883 -4.901 -4.584 2.683 5.363" Properties=species:S:1:pos:R:3 pbc="T T T"
Au -5.075 0.924 -0.695
Au -3.474 -2.526 -3.712
Au -1.132 1.772 -2.648
Au -2.733 5.223 0.369
Pd -3.559 0.249 -2.945
Pd -0.504 0.981 -5.304
Pd -3.264 0.499 1.504
Pd -2.943 2.197 -4.847
Pd -3.307 3.193 2.201
Pd -4.353 2.881 -2.554
Pd -1.854 -0.184 -0.788
Pd -2.900 -0.496 -5.544
Pd -2.648 2.448 -0.398
Pd -1.119 -0.967 -3.402
```

Energy relative to the elements = 0.052 eV/atom
Mass density = 13.1 g/cm3
DOS(E_F) = 14.7 states/eV/f.u.
Offset from the most stable computed form = 0.0614 eV/atom
M_tot = 0.000 μB per cell
V = 235 Å³ per cell

# 12
Density functional theory data (PBE) for crystalline Y6Ho2Sc at its relaxed geometry.

Structure (extended XYZ):
```
18
Lattice="6.327 -0.234 0.549 0.770 9.433 0.036 -0.411 -0.436 9.445" Properties=species:S:1:pos:R:3 pbc="T T T"
Sc 1.210 -0.172 9.275
Sc 5.477 8.935 0.756
Ho 3.651 6.465 8.403
Ho 6.061 1.027 3.002
Ho 3.035 2.298 1.627
Ho 0.626 7.736 7.028
Y 3.541 0.049 6.916
Y 3.146 8.714 3.114
Y 5.548 2.232 9.458
Y 2.929 6.008 5.224
Y 4.222 5.405 2.058
Y 2.465 3.358 7.972
Y 1.139 6.531 0.573
Y 0.567 1.416 5.698
Y 3.758 2.756 4.806
Y 6.120 7.347 4.333
Y 0.765 4.304 3.166
Y 5.921 4.459 6.864
```

Energy relative to the elements = 0.083 eV/atom
Mass density = 5.3 g/cm3
DOS(E_F) = 12.0 states/eV/f.u.
Offset from the most stable computed form = 0.0000 eV/atom
M_tot = 0.000 μB per cell
V = 567 Å³ per cell